[1]
Entry from the Alexandria database: an optimized crystal structure of TaSCl3 (PBE).

Lattice parameters (Å, degrees): 7.458 7.579 7.579 70.34 60.53 60.53
Fractional coordinates of all 10 atoms:
1 Ta 0.080 0.977 0.477
2 Ta 0.533 0.023 0.523
3 S 0.567 0.186 0.686
4 S 0.439 0.814 0.314
5 Cl 0.558 0.713 0.729
6 Cl 0.558 0.229 0.213
7 Cl 0.000 0.771 0.787
8 Cl 0.123 0.168 0.668
9 Cl 0.000 0.287 0.271
10 Cl 0.958 0.832 0.332

Properties
Spin magnetization: 0.000 μB/atom
E_tot: -5.44 eV per atom
ρ: 3.3 g/cm3
Raw formation energy: -5.681 eV per formula unit

---

[2]
Entry from the Alexandria database: an optimized crystal structure of CsCdPt2 (PBE).

Lattice parameters (Å, degrees): 5.173 5.173 10.112 75.18 75.18 90.00
Fractional coordinates of all 8 atoms:
1 Cs 0.000 0.000 0.000
2 Cs 0.750 0.250 0.500
3 Pt 0.425 0.125 0.250
4 Pt 0.325 0.625 0.250
5 Pt 0.375 0.575 0.750
6 Pt 0.875 0.675 0.750
7 Cd 0.500 0.500 0.000
8 Cd 0.250 0.750 0.500

Properties
Spin magnetization: 0.000 μB/atom
E_tot: -3.42 eV per atom
ρ: 8.4 g/cm3

---

[3]
Entry from the Alexandria database: an optimized crystal structure of Fe2NiHW (PBE).

Lattice parameters (Å, degrees): 3.718 3.718 3.540 90.00 90.00 90.00
Last column: magnetic moment on the atom in μB.
Fractional coordinates of all 5 atoms:
1 Ni 0.000 0.000 0.500  0.07
2 Fe 0.000 0.500 0.000  0.63
3 Fe 0.500 0.000 0.000  0.63
4 W 0.500 0.500 0.500  -0.28
5 H 0.000 0.000 0.000  -0.01

Properties
Spin magnetization: 0.191 μB/atom
E_tot: -7.79 eV per atom
ρ: 12.1 g/cm3

---

[4]
Entry from the Alexandria database: an optimized crystal structure of Si2SbPb (PBE).

Lattice parameters (Å, degrees): 5.305 5.305 5.715 69.77 69.77 39.69
Fractional coordinates of all 4 atoms:
1 Pb 0.473 0.473 0.541
2 Sb 0.289 0.289 0.152
3 Si 0.034 0.034 0.990
4 Si 0.704 0.704 0.818

Properties
Spin magnetization: 0.000 μB/atom
E_tot: -4.28 eV per atom
ρ: 6.7 g/cm3
Raw formation energy: 1.574 eV per formula unit

---

Question: Which value of spin magnetization does entry 2 give?
Answer: 0.000 μB/atom